# 1
A plane-wave DFT calculation with PBE was carried out for crystalline Th2C2Se at its relaxed geometry.

Structure (CIF):
```
data_Th2C2Se
_symmetry_space_group_name_H-M 'C 1 2/c 1'
_symmetry_Int_Tables_number 15
_cell_length_a 14.295
_cell_length_b 4.237
_cell_length_c 6.760
_cell_angle_alpha 90.00
_cell_angle_beta 101.09
_cell_angle_gamma 90.00
loop_
_symmetry_equiv_pos_as_xyz
'x,y,z'
'-x,-y,-z'
'-x,y,-z+1/2'
'x,-y,z+1/2'
'x+1/2,y+1/2,z'
'-x+1/2,-y+1/2,-z'
'-x+1/2,y+1/2,-z+1/2'
'x+1/2,-y+1/2,z+1/2'
loop_
_atom_site_label
_atom_site_fract_x
_atom_site_fract_y
_atom_site_fract_z
_atom_site_occupancy
Th1 0.147 0.201 0.147 1
C1 0.221 0.368 0.529 1
Se1 0.000 0.295 0.750 1
```

Calculated values
- DFT total energy (eV/atom) = -8.279
- magnetization (μB/f.u.) = 0.0
- calculated volume (Å³/cell) = 401.8
- ΔE to the lowest computed polymorph (eV/atom) = 0.000

---

# 2
A plane-wave DFT calculation with PBE was carried out for crystalline CePu2Sc5 at its relaxed geometry.

Structure (CIF):
```
data_CePu2Sc5
_symmetry_space_group_name_H-M 'C m c m'
_symmetry_Int_Tables_number 63
_symmetry_space_group_name_Hall '-C 2c 2'
_cell_length_a 5.054
_cell_length_b 11.054
_cell_length_c 14.321
_cell_angle_alpha 90.00
_cell_angle_beta 90.00
_cell_angle_gamma 90.00
loop_
_atom_site_label
_atom_site_fract_x
_atom_site_fract_y
_atom_site_fract_z
_atom_site_occupancy
Ce1 0.000 0.209 0.250 1
Pu1 0.000 0.291 0.638 1
Sc1 0.000 0.045 0.750 1
Sc2 0.000 0.124 0.042 1
Sc3 0.000 0.419 0.095 1
```

Calculated values
- E_form (eV per atom) = 0.168
- DFT total energy (eV/atom) = -8.114
- magnetization (μB/f.u.) = 13.0
- calculated volume (Å³/cell) = 800.0

---

# 3
A plane-wave DFT calculation with PBE was carried out for crystalline ZrCu2Si at its relaxed geometry.

Structure (CIF):
```
data_ZrCu2Si
_symmetry_space_group_name_H-M 'R 3 m'
_symmetry_Int_Tables_number 160
_symmetry_space_group_name_Hall 'R 3 -2"'
_cell_length_a 2.8881
_cell_length_b 2.8881
_cell_length_c 25.7958
_cell_angle_alpha 90.00
_cell_angle_beta 90.00
_cell_angle_gamma 120.00
loop_
_atom_site_label
_atom_site_fract_x
_atom_site_fract_y
_atom_site_fract_z
_atom_site_occupancy
Zr1 0.0000 0.0000 0.0000 1
Cu1 0.0000 0.0000 0.2420 1
Cu2 0.0000 0.0000 0.4976 1
Si1 0.0000 0.0000 0.7588 1
```

Calculated values
- DFT total energy (eV/atom) = -5.445
- magnetization (μB/f.u.) = 0.0
- calculated volume (Å³/cell) = 186.3